Entry from Alexandria via LeMat-Bulk: a relaxed structure of La8Dy2Al (PBE-GGA).

Structure (CIF):
```
data_La8Dy2Al
_chemical_formula_sum 'La8 Dy2 Al1'
_symmetry_space_group_name_H-M 'P 1'
_symmetry_Int_Tables_number 1
_cell_length_a 5.040
_cell_length_b 8.193
_cell_length_c 9.607
_cell_angle_alpha 105.16
_cell_angle_beta 105.21
_cell_angle_gamma 90.00
loop_
_symmetry_equiv_pos_as_xyz
'x,y,z'
loop_
_atom_site_label
_atom_site_type_symbol
_atom_site_fract_x
_atom_site_fract_y
_atom_site_fract_z
La1 La 0.044 0.741 0.088
La2 La 0.411 0.556 0.821
La3 La 0.866 0.826 0.733
La4 La 0.956 0.259 0.912
La5 La 0.674 0.908 0.347
La6 La 0.326 0.092 0.653
La7 La 0.589 0.444 0.179
La8 La 0.134 0.174 0.267
Dy1 Dy 0.227 0.634 0.453
Dy2 Dy 0.773 0.366 0.547
Al1 Al 0.500 0.000 0.000
```

Entry from Alexandria via LeMat-Bulk: a relaxed structure of La3Dy4Al4 (PBE-GGA).

Structure (CIF):
```
data_La3Dy4Al4
_chemical_formula_sum 'La3 Dy4 Al4'
_symmetry_space_group_name_H-M 'P 1'
_symmetry_Int_Tables_number 1
_cell_length_a 5.141
_cell_length_b 7.346
_cell_length_c 9.555
_cell_angle_alpha 112.60
_cell_angle_beta 105.61
_cell_angle_gamma 90.00
loop_
_symmetry_equiv_pos_as_xyz
'x,y,z'
loop_
_atom_site_label
_atom_site_type_symbol
_atom_site_fract_x
_atom_site_fract_y
_atom_site_fract_z
Dy1 Dy 0.323 0.101 0.646
Dy2 Dy 0.677 0.454 0.354
Dy3 Dy 0.677 0.899 0.354
Dy4 Dy 0.323 0.546 0.646
La1 La 0.891 0.891 0.782
La2 La 0.109 0.109 0.218
La3 La 0.000 0.500 0.000
Al1 Al 0.810 0.310 0.621
Al2 Al 0.190 0.690 0.379
Al3 Al 0.500 0.816 0.000
Al4 Al 0.500 0.184 0.000
```

| no. | energy of formation from the pure elements (meV/atom) | VASP energy (eV per cell) |
| --- | --- | --- |
| 1 | -33 | -52.73 |
| 2 | -208 | -50.45 |